## K2NaPaBr8 (PBE)

Data for a geometry-optimized K2NaPaBr8 structure.

Formation energy from raw total energies: -1520 meV/atom
Space group: P-1, No. 2
Total magnetization: 0.00 μB/f.u.

a b c (Å): 7.002 7.449 9.934
angles (deg): 89.93 89.98 85.01
Atoms (fractional coordinates):
K (0.001, 0.000, 0.226)
K (0.999, 0.000, 0.774)
Na (0.500, 0.500, 0.000)
Pa (0.500, 0.500, 0.500)
Br (0.244, 0.796, 0.999)
Br (0.267, 0.816, 0.501)
Br (0.280, 0.367, 0.305)
Br (0.281, 0.366, 0.695)
Br (0.719, 0.634, 0.305)
Br (0.720, 0.633, 0.695)
Br (0.733, 0.184, 0.499)
Br (0.756, 0.204, 0.001)



## KBa2PmF8 (PBE)

Data for a geometry-optimized KBa2PmF8 structure.

Formation energy from raw total energies: -3785 meV/atom
N(E_F): 0.000 states/eV per atom
Space group: I-4m2, No. 119
Total magnetization: 0.00 μB/f.u.

a b c (Å): 7.462 7.462 7.462
angles (deg): 132.17 132.17 69.96
Atoms (fractional coordinates):
K (0.000, 0.000, 0.000)
Ba (0.250, 0.750, 0.500)
Ba (0.500, 0.500, 0.000)
Pm (0.750, 0.250, 0.500)
F (0.097, 0.138, 0.507)
F (0.097, 0.589, 0.959)
F (0.411, 0.370, 0.507)
F (0.411, 0.903, 0.041)
F (0.630, 0.138, 0.041)
F (0.630, 0.589, 0.493)
F (0.862, 0.370, 0.959)
F (0.862, 0.903, 0.493)



## LiPbAu3 (PBE)

Data for a geometry-optimized LiPbAu3 structure.

N(E_F): 0.130 states/eV per atom
Space group: P6_3/mmc, No. 194
Total magnetization: 0.00 μB/f.u.
Distance to the lowest polymorph of the same formula: 0.000 eV/atom

a b c (Å): 6.641 6.641 5.343
angles (deg): 90.00 90.00 120.00
Atoms (fractional coordinates):
Li (0.000, 0.000, 0.000)
Li (0.000, 0.000, 0.500)
Pb (0.333, 0.667, 0.250)
Pb (0.667, 0.333, 0.750)
Au (0.188, 0.377, 0.750)
Au (0.188, 0.812, 0.750)
Au (0.377, 0.188, 0.250)
Au (0.623, 0.812, 0.750)
Au (0.812, 0.188, 0.250)
Au (0.812, 0.623, 0.250)



## LiSmTh2Se4 (PBE)

Data for a geometry-optimized LiSmTh2Se4 structure.

Formation energy from raw total energies: -1586 meV/atom
N(E_F): 0.532 states/eV per atom
Space group: P2/m, No. 10
Total magnetization: 0.00 μB/f.u.

a b c (Å): 7.000 4.045 7.455
angles (deg): 90.00 107.97 90.00
Atoms (fractional coordinates):
Li (0.000, 0.000, 0.000)
Sm (0.500, 0.500, 0.000)
Th (0.000, 0.500, 0.500)
Th (0.500, 0.000, 0.500)
Se (0.235, 0.500, 0.232)
Se (0.242, 0.000, 0.765)
Se (0.758, 0.000, 0.235)
Se (0.765, 0.500, 0.768)